Record 1
Density functional theory data (GGA-PBE) for a relaxed TlCdAsF6 crystal.

Properties
formation energy without anion corrections = -2051 meV per atom
density = 4.78 g/cm3
volume = 175.5 Å³ per cell

a b c (Å): 5.6303 5.9892 6.0030
angles (deg): 60.12 89.90 89.82
Space group P1 (No. 1)
One atom of each set of equivalent atoms:
Tl: 0.0000 0.0000 0.0000 x1
Cd: 0.4803 0.3330 0.3328 x1
As: 0.4876 0.6660 0.6669 x1
F: 0.3040 0.3341 0.0035 x1
F: 0.3046 0.0040 0.6618 x1
F: 0.3062 0.6642 0.3338 x1
F: 0.6913 0.4370 0.6117 x1
F: 0.6914 0.6101 0.9498 x1
F: 0.6916 0.9479 0.4399 x1



Record 2
Density functional theory data (GGA-PBE) for a relaxed YCd2AsF crystal.

Properties
formation energy without anion corrections = -475 meV per atom
density = 4.52 g/cm3
volume = 149.8 Å³ per cell

a b c (Å): 5.9856 5.9856 4.1806
angles (deg): 90.00 90.00 90.00
Space group P4/mmm (No. 123)
One atom of each set of equivalent atoms:
Y: 0.0000 0.0000 0.0000 x1
Cd: 0.0000 0.5000 0.0000 x2
As: 0.5000 0.5000 0.5000 x1
F: 0.0000 0.0000 0.5000 x1



Record 3
Density functional theory data (GGA-PBE) for a relaxed CdFeAs2 crystal.

Properties
formation energy from the elements = 30 meV per atom
density = 7.10 g/cm3
volume = 74.4 Å³ per cell

a b c (Å): 2.9537 2.9537 8.5245
angles (deg): 90.00 90.00 90.00
Space group P4/mmm (No. 123)
One atom of each set of equivalent atoms:
Cd: 0.0000 0.0000 0.0000 x1
Fe: 0.0000 0.0000 0.5000 x1
As: 0.5000 0.5000 0.3332 x2



Record 4
Density functional theory data (GGA-PBE) for a relaxed CdFeAs2 crystal.

Properties
formation energy from the elements = 111 meV per atom
density = 6.89 g/cm3
volume = 153.4 Å³ per cell

a b c (Å): 5.1949 10.2073 2.8937
angles (deg): 90.00 90.00 90.00
Space group Cmmm (No. 65)
One atom of each set of equivalent atoms:
Cd: 0.0000 0.0000 0.0000 x2
Fe: 0.0000 0.5000 0.0000 x2
As: 0.0000 0.3143 0.5000 x4



Record 5
Density functional theory data (GGA-PBE) for a relaxed Cd3FeAs crystal.

Properties
formation energy from the elements = 734 meV per atom
density = 6.20 g/cm3
volume = 125.3 Å³ per cell

a b c (Å): 5.0041 5.0041 5.0041
angles (deg): 90.00 90.00 90.00
Space group Pm-3m (No. 221)
One atom of each set of equivalent atoms:
Cd: 0.0000 0.0000 0.5000 x3
Fe: 0.0000 0.0000 0.0000 x1
As: 0.5000 0.5000 0.5000 x1



Record 6
Density functional theory data (GGA-PBE) for a relaxed CdFeAs2 crystal.

Properties
formation energy from the elements = 108 meV per atom
density = 7.16 g/cm3
volume = 147.6 Å³ per cell

a b c (Å): 2.9494 3.6781 13.6102
angles (deg): 90.00 90.00 90.00
Space group Imm2 (No. 44)
One atom of each set of equivalent atoms:
Cd: 0.0000 0.0000 0.0000 x2
Fe: 0.0000 0.5000 0.7267 x2
As: 0.0000 0.0000 0.3644 x2
As: 0.0000 0.5000 0.1659 x2



Record 7
Density functional theory data (GGA-PBE) for a relaxed CdFeAs2 crystal.

Properties
formation energy from the elements = 254 meV per atom
density = 7.38 g/cm3
volume = 214.6 Å³ per cell

a b c (Å): 3.0747 3.0747 26.2089
angles (deg): 90.00 90.00 120.00
Space group R3m (No. 160, hexagonal axes)
One atom of each set of equivalent atoms:
Cd: 0.0000 0.0000 0.0000 x3
Fe: 0.0000 0.0000 0.2504 x3
As: 0.0000 0.0000 0.5255 x3
As: 0.0000 0.0000 0.7674 x3



Record 8
Density functional theory data (GGA-PBE) for a relaxed CdFeAs2 crystal.

Properties
formation energy from the elements = 416 meV per atom
density = 7.34 g/cm3
volume = 72.0 Å³ per cell

a b c (Å): 4.4551 4.4551 3.6278
angles (deg): 90.00 90.00 90.00
Space group P4/mmm (No. 123)
One atom of each set of equivalent atoms:
Cd: 0.0000 0.0000 0.0000 x1
Fe: 0.5000 0.5000 0.0000 x1
As: 0.0000 0.5000 0.5000 x2



Record 9
Density functional theory data (GGA-PBE) for a relaxed CdFe2As crystal.

Properties
formation energy from the elements = 334 meV per atom
energy above the lowest structure with this stoichiometry = 222.5 meV per atom
density = 8.04 g/cm3
volume = 123.5 Å³ per cell

a b c (Å): 3.4188 4.5701 7.9038
angles (deg): 90.00 90.00 90.00
Space group Immm (No. 71)
One atom of each set of equivalent atoms:
Cd: 0.0000 0.0000 0.0000 x2
Fe: 0.0000 0.5000 0.2215 x4
As: 0.0000 0.0000 0.5000 x2



Record 10
Density functional theory data (GGA-PBE) for a relaxed CdFeAs2 crystal.

Properties
formation energy from the elements = 45 meV per atom
density = 7.20 g/cm3
volume = 146.7 Å³ per cell

a b c (Å): 5.6518 3.3641 7.9582
angles (deg): 90.00 104.25 90.00
Space group C2/m (No. 12)
One atom of each set of equivalent atoms:
Cd: 0.0000 0.0000 0.0000 x2
Fe: 0.0000 0.5000 0.5000 x2
As: 0.2310 0.0000 0.6945 x4



Record 11
Density functional theory data (GGA-PBE) for a relaxed CdFe2As crystal.

Properties
formation energy from the elements = 483 meV per atom
energy above the lowest structure with this stoichiometry = 371.3 meV per atom
density = 9.00 g/cm3
volume = 220.7 Å³ per cell

a b c (Å): 6.0430 6.0430 6.0430
angles (deg): 90.00 90.00 90.00
Space group Fm-3m (No. 225)
One atom of each set of equivalent atoms:
Cd: 0.0000 0.0000 0.0000 x4
Fe: 0.2500 0.2500 0.2500 x8
As: 0.0000 0.0000 0.5000 x4



Record 12
Density functional theory data (GGA-PBE) for a relaxed CdFeAs2 crystal.

Properties
formation energy from the elements = 413 meV per atom
density = 7.24 g/cm3
volume = 145.9 Å³ per cell

a b c (Å): 3.9473 3.9473 9.3627
angles (deg): 90.00 90.00 90.00
Space group I-4m2 (No. 119)
One atom of each set of equivalent atoms:
Cd: 0.0000 0.0000 0.0000 x2
Fe: 0.0000 0.5000 0.7500 x2
As: 0.0000 0.0000 0.5000 x2
As: 0.0000 0.5000 0.2500 x2



Record 13
Density functional theory data (GGA-PBE) for a relaxed CdFe2As2 crystal.

Properties
formation energy from the elements = 15 meV per atom
energy above the lowest structure with this stoichiometry = 0.0 meV per atom
density = 7.87 g/cm3
volume = 157.8 Å³ per cell

a b c (Å): 4.0744 4.0744 9.5049
angles (deg): 90.00 90.00 90.00
Space group I4/mmm (No. 139)
One atom of each set of equivalent atoms:
Cd: 0.0000 0.0000 0.0000 x2
Fe: 0.0000 0.5000 0.2500 x4
As: 0.0000 0.0000 0.3674 x4